# 1
# CdWS2 (GGA-PBE, relaxed)
# formation energy from raw total energies = -381.2 meV per atom
data_CdWS2
_chemical_formula_sum 'Cd3 W3 S6'
_cell_length_a 3.1684
_cell_length_b 3.1684
_cell_length_c 27.8959
_cell_angle_alpha 90.00
_cell_angle_beta 90.00
_cell_angle_gamma 120.00
_space_group_name_H-M_alt 'R -3 m'
_space_group_IT_number 166
_space_group_name_Hall '-R 3 2"'
loop_
_atom_site_label
_atom_site_type_symbol
_atom_site_fract_x
_atom_site_fract_y
_atom_site_fract_z
Cd1 Cd 0.0000 0.0000 0.0000
W1 W 0.0000 0.0000 0.5000
S1 S 0.0000 0.0000 0.1091

# 2
# Ho3Pu (GGA-PBE, relaxed)
# excess energy over the best structure of this formula in the dataset = 16 meV per atom
# energy of formation = 0.10 eV per atom
data_Ho3Pu
_chemical_formula_sum 'Ho3 Pu1'
_cell_length_a 3.477
_cell_length_b 5.658
_cell_length_c 6.128
_cell_angle_alpha 90.00
_cell_angle_beta 90.00
_cell_angle_gamma 90.00
_space_group_name_H-M_alt 'P m m 2'
_space_group_IT_number 25
_space_group_name_Hall 'P 2 -2'
loop_
_atom_site_label
_atom_site_type_symbol
_atom_site_fract_x
_atom_site_fract_y
_atom_site_fract_z
Ho1 Ho 0.000 0.000 0.000
Ho2 Ho 0.000 0.500 0.330
Ho3 Ho 0.500 0.000 0.507
Pu1 Pu 0.500 0.500 0.830

# 3
# AcCe2Si2Pt7 (GGA-PBE, relaxed)
# formation energy from raw total energies = -973.8 meV per atom
data_AcCe2Si2Pt7
_chemical_formula_sum 'Ac2 Ce4 Si4 Pt14'
_cell_length_a 6.127
_cell_length_b 5.803
_cell_length_c 13.842
_cell_angle_alpha 90.00
_cell_angle_beta 98.98
_cell_angle_gamma 90.00
_space_group_name_H-M_alt 'C 1 2/m 1'
_space_group_IT_number 12
_space_group_name_Hall '-C 2y'
loop_
_atom_site_label
_atom_site_type_symbol
_atom_site_fract_x
_atom_site_fract_y
_atom_site_fract_z
Ac1 Ac 0.000 0.000 0.000
Ce1 Ce 0.115 0.000 0.360
Si1 Si 0.100 0.500 0.257
Pt1 Pt 0.000 0.500 0.000
Pt2 Pt 0.121 0.500 0.428
Pt3 Pt 0.183 0.252 0.827

# 4
# Ta2V9In (GGA-PBE, relaxed)
# energy of formation = 0.16 eV per atom
data_Ta2V9In
_chemical_formula_sum 'Ta6 V27 In3'
_cell_length_a 5.1401
_cell_length_b 5.1401
_cell_length_c 24.0942
_cell_angle_alpha 90.00
_cell_angle_beta 90.00
_cell_angle_gamma 120.00
_space_group_name_H-M_alt 'R -3 m'
_space_group_IT_number 166
_space_group_name_Hall '-R 3 2"'
loop_
_atom_site_label
_atom_site_type_symbol
_atom_site_fract_x
_atom_site_fract_y
_atom_site_fract_z
Ta1 Ta 0.0000 0.0000 0.1455
V1 V 0.0000 0.0000 0.3326
V2 V 0.0000 0.0000 0.5000
V3 V 0.0038 0.5019 0.9158
In1 In 0.0000 0.0000 0.0000

# 5
# ZnNiRu2Cl (GGA-PBE, relaxed)
# formation energy from raw total energies = 1293.9 meV per atom
data_ZnNiRu2Cl
_chemical_formula_sum 'Zn1 Ni1 Ru2 Cl1'
_cell_length_a 4.302
_cell_length_b 4.302
_cell_length_c 4.518
_cell_angle_alpha 90.00
_cell_angle_beta 90.00
_cell_angle_gamma 90.00
_space_group_name_H-M_alt 'P 4/m m m'
_space_group_IT_number 123
_space_group_name_Hall '-P 4 2'
loop_
_atom_site_label
_atom_site_type_symbol
_atom_site_fract_x
_atom_site_fract_y
_atom_site_fract_z
Zn1 Zn 0.000 0.000 0.000
Ni1 Ni 0.500 0.500 0.000
Ru1 Ru 0.000 0.500 0.500
Cl1 Cl 0.000 0.000 0.500

# 6
# PmDy2Ge2Pt7 (GGA-PBE, relaxed)
# energy of formation = -0.94 eV per atom
data_PmDy2Ge2Pt7
_chemical_formula_sum 'Pm2 Dy4 Ge4 Pt14'
_cell_length_a 5.816
_cell_length_b 5.742
_cell_length_c 14.116
_cell_angle_alpha 90.00
_cell_angle_beta 99.47
_cell_angle_gamma 90.00
_space_group_name_H-M_alt 'C 1 2/m 1'
_space_group_IT_number 12
_space_group_name_Hall '-C 2y'
loop_
_atom_site_label
_atom_site_type_symbol
_atom_site_fract_x
_atom_site_fract_y
_atom_site_fract_z
Pm1 Pm 0.000 0.000 0.000
Dy1 Dy 0.127 0.000 0.360
Ge1 Ge 0.106 0.500 0.261
Pt1 Pt 0.000 0.500 0.000
Pt2 Pt 0.139 0.500 0.434
Pt3 Pt 0.185 0.250 0.840

# 7
# CaTh4Bi5 (GGA-PBE, relaxed)
# energy of formation = -0.64 eV per atom
data_CaTh4Bi5
_chemical_formula_sum 'Ca2 Th8 Bi10'
_cell_length_a 4.599
_cell_length_b 6.495
_cell_length_c 23.048
_cell_angle_alpha 90.00
_cell_angle_beta 90.00
_cell_angle_gamma 90.00
_space_group_name_H-M_alt 'I m m m'
_space_group_IT_number 71
_space_group_name_Hall '-I 2 2'
loop_
_atom_site_label
_atom_site_type_symbol
_atom_site_fract_x
_atom_site_fract_y
_atom_site_fract_z
Ca1 Ca 0.000 0.000 0.000
Th1 Th 0.000 0.000 0.201
Th2 Th 0.000 0.000 0.400
Bi1 Bi 0.000 0.500 0.000
Bi2 Bi 0.000 0.500 0.200
Bi3 Bi 0.000 0.500 0.400

# 8
# Be3BSb (GGA-PBE, relaxed)
# formation energy from raw total energies = 528.0 meV per atom
# excess energy over the best structure of this formula in the dataset = 0 meV per atom
data_Be3BSb
_chemical_formula_sum 'Be3 B1 Sb1'
_cell_length_a 3.925
_cell_length_b 3.925
_cell_length_c 3.925
_cell_angle_alpha 90.00
_cell_angle_beta 90.00
_cell_angle_gamma 90.00
_space_group_name_H-M_alt 'P m -3 m'
_space_group_IT_number 221
_space_group_name_Hall '-P 4 2 3'
loop_
_atom_site_label
_atom_site_type_symbol
_atom_site_fract_x
_atom_site_fract_y
_atom_site_fract_z
Be1 Be 0.000 0.000 0.500
B1 B 0.000 0.000 0.000
Sb1 Sb 0.500 0.500 0.500